[1]
Entry from Alexandria: a geometry-optimized ZrSc2As structure (PBEsol).

a b c (Å): 8.665 8.665 8.665
angles (deg): 23.13 23.13 23.13
Fractional positions:
Zr  0.000  0.000  0.000
Sc  0.233  0.233  0.233
Sc  0.767  0.767  0.767
As  0.500  0.500  0.500

Properties
Formation energy from the elements (eV/atom): -0.44
Magnetization (μB/cell): 0.0
Space-group type: R-3m (166)
Final energy (eV/f.u.): -29.18
Density of states at the Fermi level (states/eV/f.u.): 5.02

[2]
Entry from Alexandria: a geometry-optimized Zr2ScAs structure (PBEsol).

a b c (Å): 8.613 8.613 8.613
angles (deg): 23.51 23.51 23.51
Fractional positions:
Zr  0.233  0.233  0.233
Zr  0.767  0.767  0.767
Sc  0.000  0.000  0.000
As  0.500  0.500  0.500

Properties
Formation energy from the elements (eV/atom): -0.42
Magnetization (μB/cell): 0.0
Space-group type: R-3m (166)
Final energy (eV/f.u.): -31.57
Density of states at the Fermi level (states/eV/f.u.): 5.59

[3]
Entry from Alexandria: a geometry-optimized ZrScAs2 structure (PBEsol).

a b c (Å): 6.652 6.652 6.652
angles (deg): 33.25 33.25 33.25
Fractional positions:
Zr  0.000  0.000  0.000
Sc  0.500  0.500  0.500
As  0.249  0.249  0.249
As  0.751  0.751  0.751

Properties
Formation energy from the elements (eV/atom): -1.31
Magnetization (μB/cell): 0.0
Space-group type: R-3m (166)
Final energy (eV/f.u.): -31.13
Density of states at the Fermi level (states/eV/f.u.): 1.60

[4]
Entry from Alexandria: a geometry-optimized ZrScAs2 structure (PBEsol).

a b c (Å): 3.824 3.824 5.393
angles (deg): 90.00 90.00 90.00
Fractional positions:
Zr  0.000  0.000  0.000
Sc  0.500  0.500  0.500
As  0.000  0.000  0.500
As  0.500  0.500  0.000

Properties
Formation energy from the elements (eV/atom): -1.30
Magnetization (μB/cell): 0.0
Space-group type: P4/mmm (123)
Final energy (eV/f.u.): -31.12
Density of states at the Fermi level (states/eV/f.u.): 1.31

[5]
Entry from Alexandria: a geometry-optimized As2Se3 structure (PBEsol).

a b c (Å): 6.919 6.919 9.259
angles (deg): 95.27 95.27 31.33
Fractional positions:
As  0.117  0.117  0.447
As  0.300  0.300  0.860
As  0.700  0.700  0.140
As  0.883  0.883  0.553
Se  0.126  0.126  0.966
Se  0.279  0.279  0.340
Se  0.467  0.467  0.710
Se  0.533  0.533  0.290
Se  0.721  0.721  0.660
Se  0.874  0.874  0.034

Properties
Magnetization (μB/cell): 0.0
Space-group type: C2/m (12)
Final energy (eV/f.u.): -22.43
Energy relative to the elements, uncorrected (eV per atom): -0.132

[6]
Entry from Alexandria: a geometry-optimized As2Se3 structure (PBEsol).

a b c (Å): 4.045 9.748 12.777
angles (deg): 90.00 107.90 90.00
Fractional positions:
As  0.088  0.170  0.486
As  0.088  0.330  0.986
As  0.352  0.194  0.759
As  0.352  0.306  0.259
As  0.648  0.694  0.741
As  0.648  0.806  0.241
As  0.912  0.670  0.014
As  0.912  0.830  0.514
Se  0.115  0.614  0.601
Se  0.115  0.886  0.101
Se  0.332  0.083  0.342
Se  0.332  0.417  0.842
Se  0.424  0.702  0.384
Se  0.424  0.798  0.884
Se  0.576  0.202  0.116
Se  0.576  0.298  0.616
Se  0.668  0.583  0.158
Se  0.668  0.917  0.658
Se  0.885  0.114  0.899
Se  0.885  0.386  0.399

Properties
Magnetization (μB/cell): 0.0
Space-group type: P2_1/c (14)
Final energy (eV/f.u.): -22.22
Energy relative to the elements, uncorrected (eV per atom): -0.092

[7]
Entry from Alexandria: a geometry-optimized As3Se structure (PBEsol).

a b c (Å): 3.612 3.612 7.183
angles (deg): 90.00 90.00 120.00
Fractional positions:
As  0.000  0.000  0.000
As  0.667  0.333  0.238
As  0.667  0.333  0.762
Se  0.000  0.000  0.500

Properties
Magnetization (μB/cell): 0.0
Space-group type: P-6m2 (187)
Final energy (eV/f.u.): -18.38
Density of states at the Fermi level (states/eV/f.u.): 1.57
Energy relative to the elements, uncorrected (eV per atom): 0.197

[8]
Entry from Alexandria: a geometry-optimized As4Se5 structure (PBEsol).

a b c (Å): 7.771 7.771 7.771
angles (deg): 92.54 92.54 155.72
Fractional positions:
As  0.000  0.362  0.362
As  0.000  0.638  0.638
As  0.362  0.000  0.362
As  0.638  0.000  0.638
Se  0.000  0.000  0.000
Se  0.315  0.315  0.630
Se  0.315  0.685  0.000
Se  0.685  0.315  0.000
Se  0.685  0.685  0.370

Properties
Magnetization (μB/cell): 0.0
Space-group type: I4/mmm (139)
Final energy (eV/f.u.): -36.57
Density of states at the Fermi level (states/eV/f.u.): 3.57
Energy relative to the elements, uncorrected (eV per atom): 0.346